1.
DFT (PBEsol) results for a relaxed TaReOs crystal.

Calculated values
Distance to the lowest polymorph of the same formula ... 0.000 eV/atom
Energy relative to the elements ... 175 kJ/mol of formula units

```
data_TaReOs
_space_group_name_H-M_alt 'F -4 3 m'
_space_group_IT_number 216
_space_group_name_Hall 'F -4 2 3'
_cell_length_a 6.0056
_cell_length_b 6.0056
_cell_length_c 6.0056
_cell_angle_alpha 90.00
_cell_angle_beta 90.00
_cell_angle_gamma 90.00
loop_
_atom_site_label
_atom_site_type_symbol
_atom_site_fract_x
_atom_site_fract_y
_atom_site_fract_z
Ta1 Ta 0.0000 0.0000 0.0000
Re1 Re 0.2500 0.2500 0.7500
Os1 Os 0.0000 0.0000 0.5000
```

***

2.
DFT (PBEsol) results for a relaxed Ti2HgPd2 crystal.

Calculated values
Distance to the lowest polymorph of the same formula ... 0.285 eV/atom
Energy relative to the elements ... -81 kJ/mol of formula units

```
data_Ti2HgPd2
_space_group_name_H-M_alt 'I 4/m m m'
_space_group_IT_number 139
_space_group_name_Hall '-I 4 2'
_cell_length_a 4.2789
_cell_length_b 4.2789
_cell_length_c 9.9634
_cell_angle_alpha 90.00
_cell_angle_beta 90.00
_cell_angle_gamma 90.00
loop_
_atom_site_label
_atom_site_type_symbol
_atom_site_fract_x
_atom_site_fract_y
_atom_site_fract_z
Ti1 Ti 0.0000 0.5000 0.2500
Hg1 Hg 0.0000 0.0000 0.0000
Pd1 Pd 0.0000 0.0000 0.3762
```

***

3.
DFT (PBEsol) results for a relaxed CdOs crystal.

Calculated values
Energy relative to the elements ... 366 kJ/mol of formula units

```
data_CdOs
_space_group_name_H-M_alt 'F m -3 m'
_space_group_IT_number 225
_space_group_name_Hall '-F 4 2 3'
_cell_length_a 5.3541
_cell_length_b 5.3541
_cell_length_c 5.3541
_cell_angle_alpha 90.00
_cell_angle_beta 90.00
_cell_angle_gamma 90.00
loop_
_atom_site_label
_atom_site_type_symbol
_atom_site_fract_x
_atom_site_fract_y
_atom_site_fract_z
Cd1 Cd 0.0000 0.0000 0.0000
Os1 Os 0.0000 0.0000 0.5000
```